Entry 1:
Compound: Tl3InSe3
Source: Alexandria via LeMat-Bulk
Functional: PBE-GGA
Structure: relaxed

The energy relative to the elements, uncorrected is -0.44 eV/atom. The crystal system is monoclinic. The value obtained for the spin magnetization is 0.000 μB/cell. The energy above the most stable polymorph in this dataset comes out at 12 meV/atom.

a b c (Å): 7.362 7.362 9.702
angles (deg): 95.54 95.54 118.66
Element x y z (fractional)
Se  0.475  0.140  0.283
Se  0.140  0.475  0.283
Se  0.209  0.209  0.902
Se  0.525  0.860  0.717
Se  0.860  0.525  0.717
Se  0.791  0.791  0.098
Tl  0.826  0.174  0.500
Tl  0.713  0.287  0.000
Tl  0.384  0.384  0.632
Tl  0.287  0.713  0.000
Tl  0.174  0.826  0.500
Tl  0.616  0.616  0.368
In  0.148  0.148  0.166
In  0.852  0.852  0.834

Entry 2:
Compound: Tl3InSe3
Source: Alexandria via LeMat-Bulk
Functional: PBE-GGA
Structure: relaxed

The energy relative to the elements, uncorrected is -0.45 eV/atom. The crystal system is monoclinic. The value obtained for the spin magnetization is 0.000 μB/cell. The energy above the most stable polymorph in this dataset comes out at 0 meV/atom.

a b c (Å): 7.500 9.437 13.209
angles (deg): 99.81 90.00 90.00
Element x y z (fractional)
In  0.926  0.178  0.539
In  0.426  0.822  0.961
In  0.074  0.822  0.461
In  0.574  0.178  0.039
Tl  0.223  0.694  0.718
Tl  0.246  0.418  0.913
Tl  0.622  0.902  0.373
Tl  0.878  0.902  0.873
Tl  0.754  0.582  0.087
Tl  0.254  0.418  0.413
Tl  0.378  0.098  0.627
Tl  0.723  0.306  0.782
Tl  0.277  0.694  0.218
Tl  0.122  0.098  0.127
Tl  0.777  0.306  0.282
Tl  0.746  0.582  0.587
Se  0.383  0.730  0.514
Se  0.883  0.270  0.986
Se  0.117  0.730  0.014
Se  0.133  0.062  0.384
Se  0.089  0.375  0.669
Se  0.867  0.938  0.616
Se  0.617  0.270  0.486
Se  0.367  0.062  0.884
Se  0.911  0.625  0.331
Se  0.633  0.938  0.116
Se  0.589  0.625  0.831
Se  0.411  0.375  0.169

Entry 3:
Compound: TlInSe
Source: Alexandria via LeMat-Bulk
Functional: PBE-GGA
Structure: relaxed

The energy relative to the elements, uncorrected is -0.26 eV/atom. The density of states at the Fermi level is 0.4311 states/eV/atom. The crystal system is orthorhombic. The value obtained for the spin magnetization is 0.000 μB/cell. The energy above the most stable polymorph in this dataset comes out at 82 meV/atom.

a b c (Å): 6.654 6.650 3.780
angles (deg): 73.54 73.45 33.02
Element x y z (fractional)
Tl  0.684  0.684  0.316
Se  0.349  0.349  0.651
In  0.968  0.968  0.032

Entry 4:
Compound: TlInSe
Source: Alexandria via LeMat-Bulk
Functional: PBE-GGA
Structure: relaxed

The energy relative to the elements, uncorrected is -0.24 eV/atom. The density of states at the Fermi level is 0.1153 states/eV/atom. The crystal system is trigonal. The value obtained for the spin magnetization is 0.000 μB/cell. The energy above the most stable polymorph in this dataset comes out at 98 meV/atom.

a b c (Å): 5.819 5.819 7.175
angles (deg): 66.08 66.08 60.00
Element x y z (fractional)
Se  0.256  0.256  0.233
Se  0.744  0.744  0.767
Tl  0.098  0.098  0.707
Tl  0.902  0.902  0.293
In  0.595  0.595  0.216
In  0.405  0.405  0.784